Record 1
The following is a meta-GGA SCAN calculation of a crystal of CoRe2Sb relaxed with PBEsol, from the Alexandria database.

Cell: 3.075 4.295 4.535 Å, 90.00 90.00 90.00°
Space group Pmmm (No. 47)
Symmetry-distinct sites (fractional):
Co1 0.000 0.000 0.000 (multiplicity 1)
Re1 0.000 0.500 0.500 (multiplicity 1)
Re2 0.500 0.000 0.500 (multiplicity 1)
Sb1 0.500 0.500 0.000 (multiplicity 1)

Calculated values
The calculation puts the raw formation energy at 0.61 eV/atom. The value obtained for the total energy is -194.33 eV/cell. The calculated volume is 59.9 Å³/f.u.

***

Record 2
The following is a meta-GGA SCAN calculation of a crystal of Co2ReSb relaxed with PBEsol, from the Alexandria database.

Cell: 2.779 4.181 4.618 Å, 90.00 90.00 90.00°
Space group Pmm2 (No. 25)
Symmetry-distinct sites (fractional):
Co1 0.000 0.000 0.000 (multiplicity 1)
Co2 0.000 0.500 0.315 (multiplicity 1)
Re1 0.500 0.000 0.464 (multiplicity 1)
Sb1 0.500 0.500 0.847 (multiplicity 1)

Calculated values
The calculation puts the raw formation energy at 0.43 eV/atom. The value obtained for the total energy is -141.27 eV/cell. The calculated volume is 53.6 Å³/f.u.

***

Record 3
The following is a meta-GGA SCAN calculation of a crystal of Sc3CoRe relaxed with PBEsol, from the Alexandria database.

Cell: 4.919 4.919 4.919 Å, 90.00 90.00 90.00°
Space group Pm-3m (No. 221)
Symmetry-distinct sites (fractional):
Sc1 0.000 0.000 0.500 (multiplicity 3)
Co1 0.500 0.500 0.500 (multiplicity 1)
Re1 0.000 0.000 0.000 (multiplicity 1)

Calculated values
The relative energy among the computed polymorphs comes out at 36.5 meV/atom. The value obtained for the total energy is -128.32 eV/cell. For the formation energy, the calculation gives 0.558 eV per atom. The calculated volume is 119.0 Å³/f.u.

***

In the order shown, the computed density values come out to 15.34 13.18 5.30 g cm⁻³.